(1)
The following is a PBE calculation of La3SiBr2 after structural relaxation, from Alexandria via LeMat-Bulk.

Unit cell a=7.571 b=13.108 c=7.691 alpha=90.00 beta=109.10 gamma=90.00
Space group C2/m (No. 12)
One atom of each set of equivalent atoms:
1 La 0.224 0.000 0.219 (multiplicity 4)
2 La 0.249 0.325 0.222 (multiplicity 8)
3 Si 0.000 0.167 0.000 (multiplicity 4)
4 Br 0.000 0.000 0.500 (multiplicity 2)
5 Br 0.000 0.336 0.500 (multiplicity 4)
6 Br 0.000 0.500 0.000 (multiplicity 2)

Results
* N(E_F): 3.14 states/eV/f.u.
* formation energy from raw total energies: -1.2262 eV per atom

=====

(2)
The following is a PBE calculation of La4SiBr3 after structural relaxation, from Alexandria via LeMat-Bulk.

Unit cell a=8.685 b=12.351 c=4.394 alpha=90.00 beta=90.00 gamma=90.00
Space group Cmmm (No. 65)
One atom of each set of equivalent atoms:
1 La 0.000 0.237 0.000 (multiplicity 4)
2 La 0.227 0.000 0.500 (multiplicity 4)
3 Si 0.000 0.000 0.000 (multiplicity 2)
4 Br 0.000 0.500 0.000 (multiplicity 2)
5 Br 0.250 0.250 0.500 (multiplicity 4)

Results
* N(E_F): 4.86 states/eV/f.u.
* formation energy from raw total energies: -1.2330 eV per atom

=====

(3)
The following is a PBE calculation of La2Si2Br after structural relaxation, from Alexandria via LeMat-Bulk.

Unit cell a=8.286 b=8.286 c=4.057 alpha=90.00 beta=90.00 gamma=90.00
Space group P4/mbm (No. 127)
One atom of each set of equivalent atoms:
1 La 0.184 0.316 0.000 (multiplicity 4)
2 Si 0.099 0.599 0.500 (multiplicity 4)
3 Br 0.000 0.000 0.000 (multiplicity 2)

Results
* distance to the lowest polymorph of the same formula: 0.139 eV per atom
* N(E_F): 3.46 states/eV/f.u.
* formation energy from raw total energies: -0.9276 eV per atom

=====

(4)
The following is a PBE calculation of LaSiBr2 after structural relaxation, from Alexandria via LeMat-Bulk.

Unit cell a=15.202 b=3.834 c=4.995 alpha=90.00 beta=94.77 gamma=90.00
Space group C2/m (No. 12)
One atom of each set of equivalent atoms:
1 La 0.000 0.000 0.000 (multiplicity 2)
2 Si 0.000 0.500 0.500 (multiplicity 2)
3 Br 0.146 0.500 0.220 (multiplicity 4)

Results
* distance to the lowest polymorph of the same formula: 0.000 eV per atom
* N(E_F): 2.02 states/eV/f.u.
* formation energy from raw total energies: -0.9097 eV per atom

=====

(5)
The following is a PBE calculation of LaSiBr2 after structural relaxation, from Alexandria via LeMat-Bulk.

Unit cell a=3.877 b=4.714 c=5.655 alpha=90.00 beta=90.00 gamma=90.00
Space group Pmmm (No. 47)
One atom of each set of equivalent atoms:
1 La 0.000 0.000 0.000 (multiplicity 1)
2 Si 0.500 0.000 0.500 (multiplicity 1)
3 Br 0.000 0.500 0.500 (multiplicity 1)
4 Br 0.500 0.500 0.000 (multiplicity 1)

Results
* distance to the lowest polymorph of the same formula: 0.193 eV per atom
* N(E_F): 1.91 states/eV/f.u.
* formation energy from raw total energies: -0.7169 eV per atom

=====

(6)
The following is a PBE calculation of La2SiBr after structural relaxation, from Alexandria via LeMat-Bulk.

Unit cell a=3.644 b=3.644 c=8.080 alpha=90.00 beta=90.00 gamma=90.00
Space group P4/mmm (No. 123)
One atom of each set of equivalent atoms:
1 La 0.000 0.000 0.222 (multiplicity 2)
2 Si 0.500 0.500 0.000 (multiplicity 1)
3 Br 0.500 0.500 0.500 (multiplicity 1)

Results
* distance to the lowest polymorph of the same formula: 0.212 eV per atom
* N(E_F): 4.36 states/eV/f.u.
* formation energy from raw total energies: -0.9383 eV per atom

=====

(7)
The following is a PBE calculation of La4SiBr after structural relaxation, from Alexandria via LeMat-Bulk.

Unit cell a=9.069 b=9.069 c=9.069 alpha=90.00 beta=90.00 gamma=90.00
Space group F-43m (No. 216)
One atom of each set of equivalent atoms:
1 La 0.122 0.122 0.122 (multiplicity 16)
2 Si 0.250 0.250 0.750 (multiplicity 4)
3 Br 0.000 0.000 0.500 (multiplicity 4)

Results
* N(E_F): 5.32 states/eV/f.u.
* formation energy from raw total energies: 0.1021 eV per atom

=====

(8)
The following is a PBE calculation of LaSiBr3 after structural relaxation, from Alexandria via LeMat-Bulk.

Unit cell a=5.313 b=5.313 c=5.313 alpha=90.00 beta=90.00 gamma=90.00
Space group Pm-3m (No. 221)
One atom of each set of equivalent atoms:
1 La 0.000 0.000 0.000 (multiplicity 1)
2 Si 0.500 0.500 0.500 (multiplicity 1)
3 Br 0.000 0.500 0.500 (multiplicity 3)

Results
* distance to the lowest polymorph of the same formula: 0.324 eV per atom
* N(E_F): 6.54 states/eV/f.u.
* formation energy from raw total energies: -0.3377 eV per atom

=====

(9)
The following is a PBE calculation of LaSiBr2 after structural relaxation, from Alexandria via LeMat-Bulk.

Unit cell a=11.485 b=3.736 c=5.103 alpha=90.00 beta=101.52 gamma=90.00
Space group Cm (No. 8)
One atom of each set of equivalent atoms:
1 La 0.000 0.000 0.000 (multiplicity 2)
2 Si 0.239 0.500 0.155 (multiplicity 2)
3 Br 0.014 0.500 0.489 (multiplicity 2)
4 Br 0.271 0.000 0.772 (multiplicity 2)

Results
* distance to the lowest polymorph of the same formula: 0.224 eV per atom
* N(E_F): 1.36 states/eV/f.u.
* formation energy from raw total energies: -0.6854 eV per atom

=====

(10)
The following is a PBE calculation of La2SiBr after structural relaxation, from Alexandria via LeMat-Bulk.

Unit cell a=6.739 b=6.739 c=14.116 alpha=90.00 beta=90.00 gamma=90.00
Space group I-42d (No. 122)
One atom of each set of equivalent atoms:
1 La 0.220 0.250 0.125 (multiplicity 8)
2 Si 0.000 0.000 0.000 (multiplicity 4)
3 Br 0.000 0.000 0.500 (multiplicity 4)

Results
* distance to the lowest polymorph of the same formula: 0.534 eV per atom
* N(E_F): 2.22 states/eV/f.u.
* formation energy from raw total energies: -0.6163 eV per atom

=====

(11)
The following is a PBE calculation of LaSiBr after structural relaxation, from Alexandria via LeMat-Bulk.

Unit cell a=4.126 b=4.126 c=10.589 alpha=90.00 beta=90.00 gamma=90.00
Space group I4mm (No. 107)
One atom of each set of equivalent atoms:
1 La 0.000 0.000 0.000 (multiplicity 2)
2 Si 0.000 0.000 0.426 (multiplicity 2)
3 Br 0.000 0.000 0.676 (multiplicity 2)

Results
* N(E_F): 0.68 states/eV/f.u.
* formation energy from raw total energies: -0.5798 eV per atom

=====

(12)
The following is a PBE calculation of LaSmSiBr after structural relaxation, from Alexandria via LeMat-Bulk.

Unit cell a=4.2234 b=4.2234 c=23.0144 alpha=90.00 beta=90.00 gamma=120.00
Space group R3m (No. 160, hexagonal axes)
One atom of each set of equivalent atoms:
1 La 0.0000 0.0000 0.0000 (multiplicity 3)
2 Sm 0.0000 0.0000 0.8046 (multiplicity 3)
3 Si 0.0000 0.0000 0.4054 (multiplicity 3)
4 Br 0.0000 0.0000 0.2301 (multiplicity 3)

Results
* N(E_F): 2.59 states/eV/f.u.
* formation energy from raw total energies: -1.0738 eV per atom

=====

(13)
The following is a PBE calculation of Sr2LaSiBr after structural relaxation, from Alexandria via LeMat-Bulk.

Unit cell a=5.745 b=5.745 c=5.719 alpha=90.00 beta=90.00 gamma=90.00
Space group P4/mmm (No. 123)
One atom of each set of equivalent atoms:
1 Sr 0.000 0.500 0.000 (multiplicity 2)
2 La 0.000 0.000 0.500 (multiplicity 1)
3 Si 0.500 0.500 0.500 (multiplicity 1)
4 Br 0.500 0.500 0.000 (multiplicity 1)

Results
* N(E_F): 5.12 states/eV/f.u.
* formation energy from raw total energies: 0.0045 eV per atom

=====

(14)
The following is a PBE calculation of La6Si2Te3Br after structural relaxation, from Alexandria via LeMat-Bulk.

Unit cell a=19.687 b=4.453 c=9.078 alpha=90.00 beta=103.90 gamma=90.00
Space group C2/m (No. 12)
One atom of each set of equivalent atoms:
1 La 0.012 0.000 0.259 (multiplicity 4)
2 La 0.171 0.500 0.110 (multiplicity 4)
3 La 0.173 0.500 0.569 (multiplicity 4)
4 Si 0.166 0.000 0.331 (multiplicity 4)
5 Te 0.000 0.500 0.500 (multiplicity 2)
6 Te 0.161 0.000 0.835 (multiplicity 4)
7 Br 0.000 0.500 0.000 (multiplicity 2)

Results
* N(E_F): 5.06 states/eV/f.u.
* formation energy from raw total energies: -1.3182 eV per atom

=====

(15)
The following is a PBE calculation of La8Si3TeBr4 after structural relaxation, from Alexandria via LeMat-Bulk.

Unit cell a=8.8864 b=8.8864 c=21.7820 alpha=90.00 beta=90.00 gamma=120.00
Space group R-3m (No. 166, hexagonal axes)
One atom of each set of equivalent atoms:
1 La 0.0000 0.0000 0.2384 (multiplicity 6)
2 La 0.0222 0.5111 0.7588 (multiplicity 18)
3 Si 0.0000 0.5000 0.5000 (multiplicity 9)
4 Te 0.0000 0.0000 0.5000 (multiplicity 3)
5 Br 0.0000 0.0000 0.0000 (multiplicity 3)
6 Br 0.0000 0.5000 0.0000 (multiplicity 9)

Results
* N(E_F): 10.54 states/eV/f.u.
* formation energy from raw total energies: -1.2384 eV per atom

=====

(16)
The following is a PBE calculation of La3SiTeBr after structural relaxation, from Alexandria via LeMat-Bulk.

Unit cell a=9.185 b=4.398 c=10.627 alpha=90.00 beta=92.62 gamma=90.00
Space group P2_1/m (No. 11)
One atom of each set of equivalent atoms:
1 La 0.104 0.250 0.357 (multiplicity 2)
2 La 0.151 0.250 0.919 (multiplicity 2)
3 La 0.362 0.750 0.638 (multiplicity 2)
4 Si 0.131 0.250 0.645 (multiplicity 2)
5 Te 0.370 0.750 0.332 (multiplicity 2)
6 Br 0.370 0.750 0.928 (multiplicity 2)

Results
* N(E_F): 2.28 states/eV/f.u.
* formation energy from raw total energies: -1.1192 eV per atom

=====

(17)
The following is a PBE calculation of LaVSi2Br after structural relaxation, from Alexandria via LeMat-Bulk.

Unit cell a=5.050 b=5.050 c=5.425 alpha=90.00 beta=90.00 gamma=90.00
Space group P4/mmm (No. 123)
One atom of each set of equivalent atoms:
1 La 0.000 0.000 0.000 (multiplicity 1)
2 V 0.500 0.500 0.000 (multiplicity 1)
3 Si 0.000 0.500 0.500 (multiplicity 2)
4 Br 0.000 0.000 0.500 (multiplicity 1)

Results
* N(E_F): 5.07 states/eV/f.u.
* formation energy from raw total energies: 0.9967 eV per atom

=====

(18)
The following is a PBE calculation of LaSiWBr2 after structural relaxation, from Alexandria via LeMat-Bulk.

Unit cell a=5.120 b=5.120 c=4.860 alpha=90.00 beta=90.00 gamma=90.00
Space group P4/mmm (No. 123)
One atom of each set of equivalent atoms:
1 La 0.000 0.000 0.000 (multiplicity 1)
2 Si 0.500 0.500 0.000 (multiplicity 1)
3 W 0.500 0.500 0.500 (multiplicity 1)
4 Br 0.000 0.500 0.500 (multiplicity 2)

Results
* N(E_F): 5.39 states/eV/f.u.
* formation energy from raw total energies: 0.1623 eV per atom

=====

(19)
The following is a PBE calculation of La4ZnSiBr2 after structural relaxation, from Alexandria via LeMat-Bulk.

Unit cell a=7.616 b=4.350 c=7.726 alpha=90.00 beta=108.81 gamma=90.00
Space group P2/m (No. 10)
One atom of each set of equivalent atoms:
1 La 0.227 0.000 0.234 (multiplicity 2)
2 La 0.232 0.500 0.750 (multiplicity 2)
3 Zn 0.000 0.000 0.500 (multiplicity 1)
4 Si 0.000 0.500 0.000 (multiplicity 1)
5 Br 0.500 0.000 0.000 (multiplicity 1)
6 Br 0.500 0.500 0.500 (multiplicity 1)

Results
* N(E_F): 5.42 states/eV/f.u.
* formation energy from raw total energies: -0.9399 eV per atom

=====

(20)
The following is a PBE calculation of LaSmBr after structural relaxation, from Alexandria via LeMat-Bulk.

Unit cell a=3.8324 b=3.8324 c=7.7057 alpha=90.00 beta=90.00 gamma=120.00
Space group P3m1 (No. 156)
One atom of each set of equivalent atoms:
1 La 0.0000 0.0000 0.0000 (multiplicity 1)
2 Sm 0.3333 0.6667 0.6265 (multiplicity 1)
3 Br 0.6667 0.3333 0.3293 (multiplicity 1)

Results
* N(E_F): 3.38 states/eV/f.u.
* formation energy from raw total energies: -0.7561 eV per atom

=====

(21)
The following is a PBE calculation of LaSm2Br8 after structural relaxation, from Alexandria via LeMat-Bulk.

Unit cell a=18.583 b=7.781 c=7.202 alpha=90.00 beta=97.80 gamma=90.00
Space group C2/m (No. 12)
One atom of each set of equivalent atoms:
1 La 0.000 0.000 0.000 (multiplicity 2)
2 Sm 0.148 0.000 0.451 (multiplicity 4)
3 Br 0.060 0.262 0.283 (multiplicity 8)
4 Br 0.142 0.000 0.839 (multiplicity 4)
5 Br 0.215 0.500 0.631 (multiplicity 4)

Results
* N(E_F): 2.95 states/eV/f.u.
* formation energy from raw total energies: -1.6953 eV per atom

=====

(22)
The following is a PBE calculation of LaSmBr2 after structural relaxation, from Alexandria via LeMat-Bulk.

Unit cell a=3.7275 b=3.7275 c=31.2451 alpha=90.00 beta=90.00 gamma=120.00
Space group R-3m (No. 166, hexagonal axes)
One atom of each set of equivalent atoms:
1 La 0.0000 0.0000 0.0000 (multiplicity 3)
2 Sm 0.0000 0.0000 0.5000 (multiplicity 3)
3 Br 0.0000 0.0000 0.0986 (multiplicity 6)

Results
* distance to the lowest polymorph of the same formula: 0.104 eV per atom
* N(E_F): 3.00 states/eV/f.u.
* formation energy from raw total energies: -1.0900 eV per atom

=====

(23)
The following is a PBE calculation of LaSmBr3 after structural relaxation, from Alexandria via LeMat-Bulk.

Unit cell a=17.263 b=4.131 c=11.451 alpha=90.00 beta=120.15 gamma=90.00
Space group C2/m (No. 12)
One atom of each set of equivalent atoms:
1 La 0.139 0.000 0.289 (multiplicity 4)
2 Sm 0.082 0.500 0.955 (multiplicity 4)
3 Br 0.047 0.000 0.748 (multiplicity 4)
4 Br 0.157 0.500 0.506 (multiplicity 4)
5 Br 0.223 0.000 0.117 (multiplicity 4)

Results
* formation energy from raw total energies: -1.5577 eV per atom

=====

(24)
The following is a PBE calculation of LaSmBr2 after structural relaxation, from Alexandria via LeMat-Bulk.

Unit cell a=3.7330 b=3.7330 c=27.7345 alpha=90.00 beta=90.00 gamma=120.00
Space group R3m (No. 160, hexagonal axes)
One atom of each set of equivalent atoms:
1 La 0.0000 0.0000 0.0000 (multiplicity 3)
2 Sm 0.0000 0.0000 0.8355 (multiplicity 3)
3 Br 0.0000 0.0000 0.4201 (multiplicity 3)
4 Br 0.0000 0.0000 0.5823 (multiplicity 3)

Results
* distance to the lowest polymorph of the same formula: 0.000 eV per atom
* N(E_F): 1.91 states/eV/f.u.
* formation energy from raw total energies: -1.1939 eV per atom

=====

(25)
The following is a PBE calculation of LaSmBr6 after structural relaxation, from Alexandria via LeMat-Bulk.

Unit cell a=7.266 b=13.170 c=7.246 alpha=90.00 beta=106.15 gamma=90.00
Space group C2/m (No. 12)
One atom of each set of equivalent atoms:
1 La 0.000 0.000 0.000 (multiplicity 2)
2 Sm 0.000 0.500 0.500 (multiplicity 2)
3 Br 0.242 0.352 0.745 (multiplicity 8)
4 Br 0.250 0.000 0.744 (multiplicity 4)

Results
* distance to the lowest polymorph of the same formula: 0.000 eV per atom
* N(E_F): 0.00 states/eV/f.u.
* formation energy from raw total energies: -1.8967 eV per atom

=====

(26)
The following is a PBE calculation of LaSmBr6 after structural relaxation, from Alexandria via LeMat-Bulk.

Unit cell a=7.2625 b=7.2625 c=20.0132 alpha=90.00 beta=90.00 gamma=120.00
Space group R-3 (No. 148, hexagonal axes)
One atom of each set of equivalent atoms:
1 La 0.0000 0.0000 0.0000 (multiplicity 3)
2 Sm 0.0000 0.0000 0.5000 (multiplicity 3)
3 Br 0.0039 0.3270 0.5822 (multiplicity 18)

Results
* distance to the lowest polymorph of the same formula: 0.011 eV per atom
* N(E_F): 0.00 states/eV/f.u.
* formation energy from raw total energies: -1.8862 eV per atom